1.
HfBeH2Pt | PBE | relaxed

Results
Calculated volume, Å³/cell: 62
Symmetry: P4/mmm, No. 123
Raw total energy, eV/atom: -5.141

a b c (Å): 3.7001 3.7001 4.4925
angles (deg): 90.00 90.00 90.00
Sites, in units of the cell vectors:
Hf1 0.0000 0.0000 0.0000
Be1 0.5000 0.5000 0.5000
H1 0.0000 0.5000 0.5000
H2 0.5000 0.0000 0.5000
Pt1 0.5000 0.5000 0.0000


2.
Hf2BeHPt | PBE | relaxed

Results
Calculated volume, Å³/cell: 69
Symmetry: P4/mmm, No. 123
Raw total energy, eV/atom: -7.018

a b c (Å): 4.3304 4.3304 3.7030
angles (deg): 90.00 90.00 90.00
Sites, in units of the cell vectors:
Hf1 0.0000 0.5000 0.0000
Hf2 0.5000 0.0000 0.0000
Be1 0.0000 0.0000 0.5000
H1 0.0000 0.0000 0.0000
Pt1 0.5000 0.5000 0.5000


3.
Rb2HfBeH | PBE | relaxed

Results
Calculated volume, Å³/cell: 240
Symmetry: P4/mmm, No. 123
Raw total energy, eV/atom: -2.304

a b c (Å): 7.1891 7.1891 4.6372
angles (deg): 90.00 90.00 90.00
Sites, in units of the cell vectors:
Rb1 0.0000 0.5000 0.0000
Rb2 0.5000 0.0000 0.0000
Hf1 0.0000 0.0000 0.0000
Be1 0.0000 0.0000 0.5000
H1 0.5000 0.5000 0.5000


4.
HfBeHRh2 | PBE | relaxed

Results
Calculated volume, Å³/cell: 60
Symmetry: P4/mmm, No. 123
Raw total energy, eV/atom: -6.796

a b c (Å): 4.0940 4.0940 3.5817
angles (deg): 90.00 90.00 90.00
Sites, in units of the cell vectors:
Hf1 0.0000 0.0000 0.0000
Be1 0.5000 0.5000 0.0000
H1 0.5000 0.5000 0.5000
Rh1 0.0000 0.5000 0.5000
Rh2 0.5000 0.0000 0.5000


5.
HfBeHRu2 | PBE | relaxed

Results
Calculated volume, Å³/cell: 59
Symmetry: P4/mmm, No. 123
Raw total energy, eV/atom: -7.411

a b c (Å): 4.1661 4.1661 3.3951
angles (deg): 90.00 90.00 90.00
Sites, in units of the cell vectors:
Hf1 0.0000 0.0000 0.0000
Be1 0.5000 0.5000 0.0000
H1 0.5000 0.5000 0.5000
Ru1 0.0000 0.5000 0.5000
Ru2 0.5000 0.0000 0.5000


6.
HfBeH2S | PBE | relaxed

Results
Calculated volume, Å³/cell: 68
Symmetry: P4/mmm, No. 123
Raw total energy, eV/atom: -4.626

a b c (Å): 3.6155 3.6155 5.1734
angles (deg): 90.00 90.00 90.00
Sites, in units of the cell vectors:
Hf1 0.0000 0.0000 0.0000
Be1 0.0000 0.0000 0.5000
H1 0.0000 0.5000 0.0000
H2 0.5000 0.0000 0.0000
S1 0.5000 0.5000 0.5000


7.
HfScBe2H | PBE | relaxed

Results
Calculated volume, Å³/cell: 113
Symmetry: P4/mmm, No. 123
Raw total energy, eV/atom: -3.310

a b c (Å): 4.7571 4.7571 5.0048
angles (deg): 90.00 90.00 90.00
Sites, in units of the cell vectors:
Hf1 0.0000 0.0000 0.0000
Sc1 0.0000 0.0000 0.5000
Be1 0.0000 0.5000 0.5000
Be2 0.5000 0.0000 0.5000
H1 0.5000 0.5000 0.0000


8.
HfBeSn2H | PBE | relaxed

Results
Calculated volume, Å³/cell: 86
Symmetry: P4/mmm, No. 123
Raw total energy, eV/atom: -4.672

a b c (Å): 4.6886 4.6886 3.8963
angles (deg): 90.00 90.00 90.00
Sites, in units of the cell vectors:
Hf1 0.0000 0.0000 0.0000
Be1 0.5000 0.5000 0.0000
Sn1 0.0000 0.5000 0.5000
Sn2 0.5000 0.0000 0.5000
H1 0.0000 0.0000 0.5000